Material: CsHoGaTe3
Method: DFT, PBE
State: optimized geometry

Values from the calculation:
Total moment, μB/cell: 0.0
E_form (uncorrected), eV per atom: -0.9724
Symmetry: P2_1/m, No. 11
Theoretical density, Mg/m³: 5.137

Cell lengths 10.2058, 4.5320, 11.0554 Å; angles 90.00, 108.44, 90.00 degrees
Closest atoms and distances in Å follow each position.
Fractional coordinates of all 12 atoms:
Cs (0.2036, 0.2500, 0.2486)  7 Te 3.85-4.17, 2 Ga 4.24
Cs (0.7964, 0.7500, 0.7514)  7 Te 3.85-4.17, 2 Ga 4.24
Ho (0.3436, 0.7500, 0.8731)  6 Te 3.03-3.22
Ho (0.6564, 0.2500, 0.1269)  6 Te 3.03-3.22
Ga (0.0744, 0.2500, 0.6178)  4 Te 2.74-2.98
Ga (0.9256, 0.7500, 0.3822)  4 Te 2.74-2.98
Te (0.1347, 0.2500, 0.8771)  1 Ga 2.74
Te (0.2114, 0.7500, 0.5670)  3 Ga 2.81-2.98
Te (0.4650, 0.7500, 0.1609)  3 Ho 3.03-3.09
Te (0.5350, 0.2500, 0.8391)  3 Ho 3.03-3.09
Te (0.7886, 0.2500, 0.4330)  3 Ga 2.81-2.98
Te (0.8653, 0.7500, 0.1229)  1 Ga 2.74

---

Material: CsHoGaTe4
Method: DFT, PBE
State: optimized geometry

Values from the calculation:
Total moment, μB/cell: 0.0
E_form (uncorrected), eV per atom: -0.8613
Symmetry: P2_1/m, No. 11
Theoretical density, Mg/m³: 5.570

Cell lengths 7.6595, 6.6088, 10.7721 Å; angles 90.00, 106.27, 90.00 degrees
Closest atoms and distances in Å follow each position.
Fractional coordinates of all 14 atoms:
Cs (0.2323, 0.2500, 0.0508)  8 Te 3.81-4.10
Cs (0.7677, 0.7500, 0.9492)  8 Te 3.81-4.10
Ho (0.2546, 0.2500, 0.5500)  6 Te 3.11-3.28
Ho (0.7454, 0.7500, 0.4500)  6 Te 3.11-3.28
Ga (0.2623, 0.7500, 0.3361)  4 Te 2.57-2.69
Ga (0.7377, 0.2500, 0.6639)  4 Te 2.57-2.69
Te (0.0169, 0.5109, 0.6958)  1 Ga 2.69
Te (0.0169, 0.9891, 0.6958)  1 Ga 2.69
Te (0.4302, 0.7500, 0.5825)  1 Ga 2.60
Te (0.4607, 0.7500, 0.1797)  1 Ga 2.57
Te (0.5393, 0.2500, 0.8203)  1 Ga 2.57
Te (0.5698, 0.2500, 0.4175)  1 Ga 2.60
Te (0.9831, 0.0109, 0.3042)  1 Ga 2.69
Te (0.9831, 0.4891, 0.3042)  1 Ga 2.69

---

Material: CsGaI2
Method: DFT, PBE
State: optimized geometry

Values from the calculation:
Total moment, μB/cell: 0.0
E_form (uncorrected), eV per atom: -0.8581
Symmetry: I-42d, No. 122
Theoretical density, Mg/m³: 2.917

Cell lengths 9.9469, 9.9469, 9.9469 Å; angles 132.83, 132.83, 68.92 degrees
Closest atoms and distances in Å follow each position.
Fractional coordinates of all 8 atoms:
Cs (0.0000, 0.0000, 0.0000)  4 I 3.80
Cs (0.7500, 0.2500, 0.5000)  4 I 3.80
Ga (0.2500, 0.7500, 0.5000)  4 I 3.22
Ga (0.5000, 0.5000, 0.0000)  4 I 3.22
I (0.1889, 0.6250, 0.0639)  2 Ga 3.22
I (0.3750, 0.4389, 0.5639)  2 Ga 3.22
I (0.5611, 0.1250, 0.9361)  2 Ga 3.22
I (0.8750, 0.8111, 0.4361)  2 Ga 3.22

---

Material: CsGa3I9
Method: DFT, PBE
State: optimized geometry

Values from the calculation:
Total moment, μB/cell: 1.0
E_form (uncorrected), eV per atom: -0.5957
Symmetry: Cc, No. 9
Theoretical density, Mg/m³: 3.290

Cell lengths 11.8698, 11.8698, 15.5827 Å; angles 121.88, 121.88, 59.22 degrees
Closest atoms and distances in Å follow each position.
Fractional coordinates of all 26 atoms:
Cs (0.1770, 0.8230, 0.5000)  6 I 3.91-4.02
Cs (0.8230, 0.1770, 0.0000)  6 I 3.91-4.02
Ga (0.1147, 0.2896, 0.8529)  4 I 2.60-2.85
Ga (0.2896, 0.1147, 0.3529)  4 I 2.60-2.85
Ga (0.3696, 0.5063, 0.7441)  4 I 2.59-2.85
Ga (0.5063, 0.3696, 0.2441)  4 I 2.59-2.85
Ga (0.6924, 0.9378, 0.2940)  4 I 2.54-2.66
Ga (0.9378, 0.6924, 0.7940)  4 I 2.54-2.66
I (0.0726, 0.5720, 0.6596)  2 Ga 2.65-2.85
I (0.0829, 0.7953, 0.9897)  1 Ga 2.54
I (0.1267, 0.9955, 0.3157)  1 Ga 2.61
I (0.1646, 0.2677, 0.2351)  1 Ga 2.60
I (0.2611, 0.4040, 0.0666)  2 Ga 2.74-2.79
I (0.2677, 0.1646, 0.7351)  1 Ga 2.60
I (0.4040, 0.2611, 0.5666)  2 Ga 2.74-2.79
I (0.4120, 0.7061, 0.7512)  1 Ga 2.60
I (0.4806, 0.4909, 0.9340)  1 Ga 2.59
I (0.4909, 0.4806, 0.4340)  1 Ga 2.59
I (0.4934, 0.8698, 0.2701)  2 Ga 2.66-2.85
I (0.5720, 0.0726, 0.1596)  2 Ga 2.65-2.85
I (0.7051, 0.8694, 0.7220)  1 Ga 2.57
I (0.7061, 0.4120, 0.2512)  1 Ga 2.60
I (0.7953, 0.0829, 0.4897)  1 Ga 2.54
I (0.8694, 0.7051, 0.2220)  1 Ga 2.57
I (0.8698, 0.4934, 0.7701)  2 Ga 2.66-2.85
I (0.9955, 0.1267, 0.8157)  1 Ga 2.61